Entry 1:
The following is a PBE calculation of an optimized crystal structure of Na2PuSbS4, from the Alexandria database.

Structure (POSCAR):
```
Na2PuSbS4
1.0
4.0297 0.0000 0.0000
0.0000 7.0169 0.1154
0.0000 -2.4561 6.6126
Na Pu Sb S
2 1 1 4
Cartesian
2.0148 -1.2280 3.3063 Na
0.0000 2.2804 3.3640 Na
2.0148 3.5085 0.0577 Pu
0.0000 0.0000 0.0000 Sb
2.0148 1.1426 1.5487 S
2.0148 3.4183 5.1792 S
0.0000 -0.0914 5.1478 S
0.0000 4.6522 1.5801 S
```

Summary:
* symmetry: P2/m (10)
* crystal system: monoclinic
* raw formation energy: -1.085 eV per atom

=====

Entry 2:
The following is a PBE calculation of an optimized crystal structure of Na3PuSc2S6, from the Alexandria database.

Structure (POSCAR):
```
Na3PuSc2S6
1.0
6.7049 -0.0023 -0.0016
-3.3528 5.8064 -0.0016
-1.1196 -1.9386 6.6252
Na Pu Sc S
3 1 2 6
Cartesian
-2.2528 3.8785 3.3110 Na
4.4853 -0.0130 3.3110 Na
1.1162 1.9327 3.3110 Na
0.0000 0.0000 0.0000 Pu
-0.0032 3.8719 -0.0016 Sc
3.3553 1.9322 -0.0016 Sc
3.3987 1.8457 5.1709 S
2.1858 3.7846 1.4548 S
-1.1662 2.0198 1.4510 S
-0.0998 3.8662 5.1709 S
0.0467 0.0809 5.1672 S
2.3323 -0.0007 1.4510 S
```

Summary:
* symmetry: C2/m (12)
* crystal system: monoclinic
* raw formation energy: -1.653 eV per atom

=====

Entry 3:
The following is a PBE calculation of an optimized crystal structure of NaPu2ScS4, from the Alexandria database.

Structure (POSCAR):
```
NaPu2ScS4
1.0
-3.7681 0.4118 0.9750
-0.6083 -6.6290 0.4490
1.4331 -2.0428 6.4013
Na Pu Sc S
1 2 1 4
Cartesian
-2.1882 -3.1086 0.7120 Na
1.4331 -2.0428 6.4013 Pu
-1.1675 -0.8155 3.6882 Pu
0.4124 -4.3359 3.4252 Sc
0.6045 -6.4418 5.0570 S
-3.5477 -1.8182 2.7684 S
-1.9579 -5.2175 2.4929 S
-0.9854 -3.0425 5.3325 S
```

Summary:
* symmetry: P2/m (10)
* crystal system: monoclinic
* raw formation energy: -1.649 eV per atom

=====

Entry 4:
The following is a PBE calculation of an optimized crystal structure of Na4PuSc3S8, from the Alexandria database.

Structure (POSCAR):
```
Na4PuSc3S8
1.0
7.6856 0.0000 0.0000
0.0000 7.9780 0.1979
-3.8428 -3.8386 5.4386
Na Pu Sc S
4 1 3 8
Cartesian
3.8428 0.0000 0.0000 Na
1.9214 -1.9193 2.7193 Na
0.0000 0.0000 0.0000 Na
-1.9214 -1.9193 2.7193 Na
0.0000 3.9890 0.0989 Pu
3.8428 3.9890 0.0989 Sc
1.9214 2.0697 2.8183 Sc
-1.9214 2.0697 2.8183 Sc
-1.8474 2.0046 5.4413 S
0.0000 3.8440 2.8227 S
0.0000 0.2633 2.8988 S
1.8474 2.0046 5.4413 S
1.9954 2.1348 0.1952 S
3.8428 3.8761 2.7377 S
3.8428 0.2954 2.8138 S
5.6902 2.1348 0.1952 S
```

Summary:
* symmetry: C2/m (12)
* crystal system: monoclinic
* raw formation energy: -1.677 eV per atom

=====

Entry 5:
The following is a PBE calculation of an optimized crystal structure of Na2PuSc2S6, from the Alexandria database.

Structure (POSCAR):
```
Na2PuSc2S6
1.0
-2.3845 3.5647 5.0403
-3.4666 -5.0921 -2.4188
4.9839 -3.6328 3.4931
Na Pu Sc S
2 1 2 6
Cartesian
-2.5643 2.1261 3.8007 Na
-3.2867 -3.6535 -1.1792 Na
2.4920 -1.8164 1.7465 Pu
-0.6140 -4.0236 1.8135 Sc
-0.2531 -1.1366 4.3010 Sc
-0.7232 -3.7104 4.4111 S
1.9706 -4.4429 1.8397 S
-0.1439 -1.4498 1.7035 S
2.3420 -1.4721 4.3995 S
-2.8378 -0.7173 4.2749 S
-3.2091 -3.6881 1.7151 S
```

Summary:
* symmetry: C2/m (12)
* crystal system: monoclinic
* raw formation energy: -1.625 eV per atom

=====

Entry 6:
The following is a PBE calculation of an optimized crystal structure of Na2PuSiS4, from the Alexandria database.

Structure (POSCAR):
```
Na2PuSiS4
1.0
7.8397 -0.0176 -0.2454
-0.0231 7.8397 -0.2454
-3.9569 -3.9597 5.7799
Na Pu Si S
4 2 2 8
Cartesian
3.9199 -0.0088 -0.1227 Na
1.9414 -1.9886 2.7672 Na
-1.9785 -1.9798 2.8899 Na
3.9083 3.9110 -0.2454 Na
-0.0115 3.9198 -0.1227 Pu
5.8497 1.9224 2.5219 Pu
1.9298 1.9312 2.6446 Si
3.8828 -3.9772 5.5345 Si
-2.2259 2.0481 5.4805 S
3.7629 0.1784 2.6986 S
0.0968 3.6839 2.5906 S
6.0857 1.8143 -0.1913 S
2.0994 1.9944 5.2065 S
3.7966 3.6929 2.7272 S
0.0631 0.1696 2.5619 S
1.7603 1.8680 0.0826 S
```

Summary:
* symmetry: Imma (74)
* crystal system: orthorhombic
* raw formation energy: -1.011 eV per atom

=====

| no. | size of the total moment (μB per formula unit) |
| --- | --- |
| 1 | 5.00 |
| 2 | 5.00 |
| 3 | 0.20 |
| 4 | 5.00 |
| 5 | 4.00 |
| 6 | 4.59 |